A relaxed structure of Tc3C, computed with GGA-PBE.

The value obtained for the magnetic moment is 0.0 μB/f.u. For the energy above the most stable polymorph in this dataset, the calculation gives 1065 meV/atom. The energy comes out at -72.04 eV/cell. The formation energy from the elements comes out at 1.08 eV per atom. Its calculated volume is 105 Å³ per cell. Its crystal system is orthorhombic.

The structure belongs to space group Cmmm (No. 65); the cell edges are 4.667, 7.944 and 2.821 Å and the angles 90.00°, 90.00° and 90.00°. The inequivalent atoms are Tc at (0.000, 0.000, 0.000), Tc at (0.250, 0.250, 0.500) and C at (0.000, 0.500, 0.000).